First-principles (PBE) data for a relaxed structure of MnRu2Se, as listed in Alexandria via LeMat-Bulk.

Output
Total magnetization: 3.48 μB/cell
E_form (uncorrected): 0.14 eV per atom

a b c (Å): 3.076 3.076 6.056
angles (deg): 90.00 90.00 90.00
Each line ends with the local moment (μB).
Element x y z (fractional)
Ru1 0.000 0.000 0.506  0.06
Ru2 0.000 0.000 0.994  0.06
Mn1 0.500 0.500 0.750  3.21
Se1 0.500 0.500 0.250  0.02